First-principles (PBE) data for an optimized crystal structure of Er2Al4CuPd3, as listed in Alexandria via LeMat-Bulk.

Its crystal system is tetragonal. The formation enthalpy at 0 K comes out at -0.735 eV per atom.

The structure belongs to space group P-4m2 (No. 115); the cell edges are 4.097, 4.097 and 10.865 Å and the angles 90.00°, 90.00° and 90.00°. The distinct sites, in fractional coordinates, are Er at (0.000, 0.500, 0.248), Al at (0.000, 0.000, 0.000), Al at (0.000, 0.500, 0.629), Al at (0.500, 0.500, 0.000), Cu at (0.000, 0.000, 0.500), Pd at (0.000, 0.500, 0.860) and Pd at (0.500, 0.500, 0.500).

---

First-principles (PBE) data for an optimized crystal structure of PmErAlCu, as listed in Alexandria via LeMat-Bulk.

Its crystal system is cubic. The formation enthalpy at 0 K comes out at -0.255 eV per atom.

The structure belongs to space group F-43m (No. 216); the cell edges are 7.198, 7.198 and 7.198 Å and the angles 90.00°, 90.00° and 90.00°. The distinct sites, in fractional coordinates, are Pm at (0.000, 0.000, 0.000), Er at (0.000, 0.000, 0.500), Al at (0.250, 0.250, 0.250) and Cu at (0.250, 0.250, 0.750).

---

First-principles (PBE) data for an optimized crystal structure of ErAl4CuPt2, as listed in Alexandria via LeMat-Bulk.

Its crystal system is trigonal. The formation enthalpy at 0 K comes out at -0.747 eV per atom.

The structure belongs to space group R-3m (No. 166, hexagonal axes); the cell edges are 4.2572, 4.2572 and 25.5734 Å and the angles 90.00°, 90.00° and 120.00°. The distinct sites, in fractional coordinates, are Er at (0.0000, 0.0000, 0.0000), Al at (0.0000, 0.0000, 0.1325), Al at (0.0000, 0.0000, 0.4019), Cu at (0.0000, 0.0000, 0.5000) and Pt at (0.0000, 0.0000, 0.2395).

---

First-principles (PBE) data for an optimized crystal structure of ErAl3CuPt, as listed in Alexandria via LeMat-Bulk.

Its crystal system is orthorhombic. The formation enthalpy at 0 K comes out at -0.506 eV per atom.

The structure belongs to space group Cmcm (No. 63); the cell edges are 6.235, 12.121 and 5.703 Å and the angles 90.00°, 90.00° and 90.00°. The distinct sites, in fractional coordinates, are Er at (0.000, 0.215, 0.250), Al at (0.000, 0.355, 0.750), Al at (0.210, 0.000, 0.000), Cu at (0.000, 0.434, 0.250) and Pt at (0.000, 0.145, 0.750).

---

First-principles (PBE) data for an optimized crystal structure of ErAlCuPt2, as listed in Alexandria via LeMat-Bulk.

Its crystal system is tetragonal. The formation enthalpy at 0 K comes out at -0.899 eV per atom.

The structure belongs to space group I-4m2 (No. 119); the cell edges are 3.734, 3.734 and 12.734 Å and the angles 90.00°, 90.00° and 90.00°. The distinct sites, in fractional coordinates, are Er at (0.000, 0.000, 0.000), Al at (0.000, 0.500, 0.750), Cu at (0.000, 0.500, 0.250) and Pt at (0.000, 0.000, 0.392).

---

First-principles (PBE) data for an optimized crystal structure of Er2Al4CuPt3, as listed in Alexandria via LeMat-Bulk.

Its crystal system is tetragonal. The formation enthalpy at 0 K comes out at -0.963 eV per atom.

The structure belongs to space group P-4m2 (No. 115); the cell edges are 4.108, 4.108 and 10.765 Å and the angles 90.00°, 90.00° and 90.00°. The distinct sites, in fractional coordinates, are Er at (0.000, 0.500, 0.249), Al at (0.000, 0.000, 0.000), Al at (0.000, 0.500, 0.629), Al at (0.500, 0.500, 0.000), Cu at (0.000, 0.000, 0.500), Pt at (0.000, 0.500, 0.860) and Pt at (0.500, 0.500, 0.500).

---

First-principles (PBE) data for an optimized crystal structure of ErAlCuPt, as listed in Alexandria via LeMat-Bulk.

Its crystal system is cubic. The formation enthalpy at 0 K comes out at -0.734 eV per atom.

The structure belongs to space group F-43m (No. 216); the cell edges are 6.522, 6.522 and 6.522 Å and the angles 90.00°, 90.00° and 90.00°. The distinct sites, in fractional coordinates, are Er at (0.000, 0.000, 0.000), Al at (0.000, 0.000, 0.500), Cu at (0.250, 0.250, 0.250) and Pt at (0.250, 0.250, 0.750).

---

First-principles (PBE) data for an optimized crystal structure of ErAlCuRh, as listed in Alexandria via LeMat-Bulk.

Its crystal system is cubic. The formation enthalpy at 0 K comes out at -0.581 eV per atom.

The structure belongs to space group F-43m (No. 216); the cell edges are 6.452, 6.452 and 6.452 Å and the angles 90.00°, 90.00° and 90.00°. The distinct sites, in fractional coordinates, are Er at (0.000, 0.000, 0.000), Al at (0.000, 0.000, 0.500), Cu at (0.250, 0.250, 0.250) and Rh at (0.250, 0.250, 0.750).

---

First-principles (PBE) data for an optimized crystal structure of ErScAlCu, as listed in Alexandria via LeMat-Bulk.

Its crystal system is cubic. The formation enthalpy at 0 K comes out at -0.311 eV per atom. The calculation puts the polymorph energy (0 for the lowest one) at 43.5 meV per atom.

The structure belongs to space group F-43m (No. 216); the cell edges are 6.882, 6.882 and 6.882 Å and the angles 90.00°, 90.00° and 90.00°. The distinct sites, in fractional coordinates, are Er at (0.000, 0.000, 0.000), Sc at (0.000, 0.000, 0.500), Al at (0.250, 0.250, 0.750) and Cu at (0.250, 0.250, 0.250).

---

First-principles (PBE) data for an optimized crystal structure of ErScAlCu, as listed in Alexandria via LeMat-Bulk.

Its crystal system is tetragonal. The formation enthalpy at 0 K comes out at -0.354 eV per atom. The calculation puts the polymorph energy (0 for the lowest one) at 0.0 meV per atom.

The structure belongs to space group P4mm (No. 99); the cell edges are 3.363, 3.363 and 7.066 Å and the angles 90.00°, 90.00° and 90.00°. The distinct sites, in fractional coordinates, are Er at (0.000, 0.000, 0.000), Sc at (0.000, 0.000, 0.531), Al at (0.500, 0.500, 0.284) and Cu at (0.500, 0.500, 0.736).

---

First-principles (PBE) data for an optimized crystal structure of TbErAlCu, as listed in Alexandria via LeMat-Bulk.

Its crystal system is cubic. The formation enthalpy at 0 K comes out at -0.286 eV per atom. The calculation puts the polymorph energy (0 for the lowest one) at 39.5 meV per atom.

The structure belongs to space group F-43m (No. 216); the cell edges are 7.115, 7.115 and 7.115 Å and the angles 90.00°, 90.00° and 90.00°. The distinct sites, in fractional coordinates, are Tb at (0.000, 0.000, 0.000), Er at (0.000, 0.000, 0.500), Al at (0.250, 0.250, 0.250) and Cu at (0.250, 0.250, 0.750).

---

First-principles (PBE) data for an optimized crystal structure of TbErAlCu, as listed in Alexandria via LeMat-Bulk.

Its crystal system is tetragonal. The formation enthalpy at 0 K comes out at -0.326 eV per atom. The calculation puts the polymorph energy (0 for the lowest one) at 0.0 meV per atom.

The structure belongs to space group P4mm (No. 99); the cell edges are 3.462, 3.462 and 7.366 Å and the angles 90.00°, 90.00° and 90.00°. The distinct sites, in fractional coordinates, are Tb at (0.000, 0.000, 0.000), Er at (0.000, 0.000, 0.471), Al at (0.500, 0.500, 0.732) and Cu at (0.500, 0.500, 0.250).

---

First-principles (PBE) data for an optimized crystal structure of Tb2Er2Al4Cu, as listed in Alexandria via LeMat-Bulk.

Its crystal system is tetragonal. The formation enthalpy at 0 K comes out at -0.198 eV per atom.

The structure belongs to space group I4/mmm (No. 139); the cell edges are 6.469, 6.469 and 9.649 Å and the angles 90.00°, 90.00° and 90.00°. The distinct sites, in fractional coordinates, are Tb at (0.000, 0.000, 0.225), Er at (0.000, 0.500, 0.250), Al at (0.233, 0.233, 0.000) and Cu at (0.000, 0.000, 0.500).

---

First-principles (PBE) data for an optimized crystal structure of ErThAlCu, as listed in Alexandria via LeMat-Bulk.

Its crystal system is cubic. The formation enthalpy at 0 K comes out at -0.186 eV per atom.

The structure belongs to space group F-43m (No. 216); the cell edges are 7.210, 7.210 and 7.210 Å and the angles 90.00°, 90.00° and 90.00°. The distinct sites, in fractional coordinates, are Er at (0.000, 0.000, 0.000), Th at (0.000, 0.000, 0.500), Al at (0.250, 0.250, 0.250) and Cu at (0.250, 0.250, 0.750).

---

First-principles (PBE) data for an optimized crystal structure of ErTmAlCu, as listed in Alexandria via LeMat-Bulk.

Its crystal system is cubic. The formation enthalpy at 0 K comes out at -0.304 eV per atom. The calculation puts the polymorph energy (0 for the lowest one) at 35.8 meV per atom.

The structure belongs to space group F-43m (No. 216); the cell edges are 7.047, 7.047 and 7.047 Å and the angles 90.00°, 90.00° and 90.00°. The distinct sites, in fractional coordinates, are Er at (0.000, 0.000, 0.000), Tm at (0.000, 0.000, 0.500), Al at (0.250, 0.250, 0.250) and Cu at (0.250, 0.250, 0.750).

---

First-principles (PBE) data for an optimized crystal structure of ErTmAlCu, as listed in Alexandria via LeMat-Bulk.

Its crystal system is tetragonal. The formation enthalpy at 0 K comes out at -0.340 eV per atom. The calculation puts the polymorph energy (0 for the lowest one) at 0.0 meV per atom.

The structure belongs to space group P4mm (No. 99); the cell edges are 3.435, 3.435 and 7.285 Å and the angles 90.00°, 90.00° and 90.00°. The distinct sites, in fractional coordinates, are Er at (0.000, 0.000, 0.000), Tm at (0.000, 0.000, 0.530), Al at (0.500, 0.500, 0.266) and Cu at (0.500, 0.500, 0.760).

---

First-principles (PBE) data for an optimized crystal structure of ErAlZn2Cu4, as listed in Alexandria via LeMat-Bulk.

Its crystal system is trigonal. The formation enthalpy at 0 K comes out at -0.180 eV per atom.

The structure belongs to space group R-3m (No. 166, hexagonal axes); the cell edges are 4.2017, 4.2017 and 24.0472 Å and the angles 90.00°, 90.00° and 120.00°. The distinct sites, in fractional coordinates, are Er at (0.0000, 0.0000, 0.0000), Al at (0.0000, 0.0000, 0.5000), Zn at (0.0000, 0.0000, 0.2442), Cu at (0.0000, 0.0000, 0.1295) and Cu at (0.0000, 0.0000, 0.3993).

---

First-principles (PBE) data for an optimized crystal structure of Er4AlZnCu2, as listed in Alexandria via LeMat-Bulk.

Its crystal system is trigonal. The formation enthalpy at 0 K comes out at -0.301 eV per atom.

The structure belongs to space group R-3m (No. 166, hexagonal axes); the cell edges are 4.9638, 4.9638 and 24.2734 Å and the angles 90.00°, 90.00° and 120.00°. The distinct sites, in fractional coordinates, are Er at (0.0000, 0.0000, 0.1232), Er at (0.0000, 0.0000, 0.3733), Al at (0.0000, 0.0000, 0.5000), Zn at (0.0000, 0.0000, 0.0000) and Cu at (0.0000, 0.0000, 0.2468).

---

First-principles (PBE) data for an optimized crystal structure of Er2AlZn2Cu5, as listed in Alexandria via LeMat-Bulk.

Its crystal system is tetragonal. The formation enthalpy at 0 K comes out at -0.169 eV per atom.

The structure belongs to space group P4/mbm (No. 127); the cell edges are 9.653, 9.653 and 3.502 Å and the angles 90.00°, 90.00° and 90.00°. The distinct sites, in fractional coordinates, are Er at (0.179, 0.321, 0.000), Al at (0.000, 0.000, 0.000), Zn at (0.121, 0.621, 0.000), Cu at (0.000, 0.500, 0.500) and Cu at (0.050, 0.806, 0.500).

---

First-principles (PBE) data for an optimized crystal structure of Er2Al3ZnCu12, as listed in Alexandria via LeMat-Bulk.

Its crystal system is trigonal. The formation enthalpy at 0 K comes out at 0.042 eV per atom.

The structure belongs to space group R-3m (No. 166, hexagonal axes); the cell edges are 5.3251, 5.3251 and 34.7626 Å and the angles 90.00°, 90.00° and 120.00°. The distinct sites, in fractional coordinates, are Er at (0.0000, 0.0000, 0.1426), Al at (0.0000, 0.5000, 0.0000), Zn at (0.0000, 0.0000, 0.5000), Cu at (0.0045, 0.5022, 0.8887) and Cu at (0.0206, 0.5103, 0.6101).

---

First-principles (PBE) data for an optimized crystal structure of ErAlZnCu6, as listed in Alexandria via LeMat-Bulk.

Its crystal system is orthorhombic. The formation enthalpy at 0 K comes out at 0.091 eV per atom.

The structure belongs to space group Imma (No. 74); the cell edges are 6.815, 8.647 and 9.650 Å and the angles 90.00°, 90.00° and 90.00°. The distinct sites, in fractional coordinates, are Er at (0.000, 0.250, 0.213), Al at (0.250, 0.250, 0.750), Zn at (0.000, 0.000, 0.000), Cu at (0.000, 0.250, 0.521), Cu at (0.000, 0.250, 0.919) and Cu at (0.182, 0.005, 0.372).

---

First-principles (PBE) data for an optimized crystal structure of Er2AlZn12Cu3, as listed in Alexandria via LeMat-Bulk.

Its crystal system is trigonal. The formation enthalpy at 0 K comes out at 0.003 eV per atom.

The structure belongs to space group R-3m (No. 166, hexagonal axes); the cell edges are 9.1586, 9.1586 and 12.4967 Å and the angles 90.00°, 90.00° and 120.00°. The distinct sites, in fractional coordinates, are Er at (0.0000, 0.0000, 0.2460), Al at (0.0000, 0.0000, 0.5000), Zn at (0.0096, 0.5048, 0.2039), Zn at (0.0537, 0.5268, 0.5986) and Cu at (0.0000, 0.5000, 0.0000).

---

First-principles (PBE) data for an optimized crystal structure of ErAlZn3Cu, as listed in Alexandria via LeMat-Bulk.

Its crystal system is orthorhombic. The formation enthalpy at 0 K comes out at -0.028 eV per atom.

The structure belongs to space group Cmcm (No. 63); the cell edges are 6.257, 12.591 and 5.535 Å and the angles 90.00°, 90.00° and 90.00°. The distinct sites, in fractional coordinates, are Er at (0.000, 0.200, 0.250), Al at (0.000, 0.425, 0.250), Zn at (0.000, 0.355, 0.750), Zn at (0.194, 0.000, 0.000) and Cu at (0.000, 0.150, 0.750).

---

First-principles (PBE) data for an optimized crystal structure of ErAlZnCu, as listed in Alexandria via LeMat-Bulk.

Its crystal system is cubic. The formation enthalpy at 0 K comes out at -0.352 eV per atom.

The structure belongs to space group F-43m (No. 216); the cell edges are 6.499, 6.499 and 6.499 Å and the angles 90.00°, 90.00° and 90.00°. The distinct sites, in fractional coordinates, are Er at (0.000, 0.000, 0.000), Al at (0.000, 0.000, 0.500), Zn at (0.250, 0.250, 0.750) and Cu at (0.250, 0.250, 0.250).